Record 1
Here is a relaxed ZrV2Cr crystal from Alexandria. Energies are from PBE-GGA.

Lattice parameters (Å, degrees): 3.6727 3.6727 19.4170 90.00 90.00 90.00
Closest atoms and distances in Å follow each position.
Space group I-42d (No. 122)
One atom of each set of equivalent atoms:
1 Zr 0.0000 0.0000 0.0000 (multiplicity 4)  4 Cr 2.60, 4 V 2.77
2 V 0.2386 0.2500 0.6250 (multiplicity 8)  4 V 2.54-2.66, 2 Cr 2.74, 2 Zr 2.77
3 Cr 0.0000 0.0000 0.5000 (multiplicity 4)  4 Zr 2.60, 4 V 2.74

Calculated values
The calculation puts the electronic total energy at -8.413 eV/atom. The energy relative to the elements comes out at 0.6887 eV/atom. Its crystal system is tetragonal.



Record 2
Here is a relaxed Zr2V3Cr crystal from Alexandria. Energies are from PBE-GGA.

Lattice parameters (Å, degrees): 8.5440 5.3222 5.0351 90.00 121.57 90.00
Closest atoms and distances in Å follow each position.
Space group C2/m (No. 12)
One atom of each set of equivalent atoms:
1 Zr 0.1265 0.0000 0.3737 (multiplicity 4)  9 V 2.91-3.06, 4 Zr 3.03-3.22, 3 Cr 3.10-3.11
2 V 0.0000 0.5000 0.5000 (multiplicity 2)  2 Cr 2.52, 4 V 2.65
3 V 0.2500 0.2500 0.0000 (multiplicity 4)  2 Cr 2.52, 4 V 2.65-2.66
4 Cr 0.0000 0.5000 0.0000 (multiplicity 2)  6 V 2.52

Calculated values
The calculation puts the electronic total energy at -9.015 eV/atom. The energy relative to the elements comes out at -0.0023 eV/atom. Its crystal system is monoclinic.



no.,DOS(E_F) (states/eV per cell)
1,22.8
2,18.7